[1]
Material: TmFe5B3
Method: DFT, PBE-GGA
State: relaxed

**Energy of formation**: -2.18 eV/f.u.
**Crystal system**: orthorhombic

Cell lengths 5.862, 5.862, 10.552 Å; angles 90.00, 90.00, 147.18 degrees
Positions (direct):
Tm (0.165, 0.835, 0.750)
Tm (0.835, 0.165, 0.250)
Fe (0.000, 0.000, 0.000)
Fe (0.000, 0.000, 0.500)
Fe (0.197, 0.803, 0.061)
Fe (0.197, 0.803, 0.439)
Fe (0.448, 0.552, 0.645)
Fe (0.448, 0.552, 0.855)
Fe (0.552, 0.448, 0.145)
Fe (0.552, 0.448, 0.355)
Fe (0.803, 0.197, 0.561)
Fe (0.803, 0.197, 0.939)
B (0.132, 0.868, 0.250)
B (0.380, 0.620, 0.049)
B (0.380, 0.620, 0.451)
B (0.620, 0.380, 0.549)
B (0.620, 0.380, 0.951)
B (0.868, 0.132, 0.750)

---

[2]
Material: Te2RhBr
Method: DFT, PBE-GGA
State: relaxed

**Raw formation energy**: -0.003 eV/atom
**Crystal system**: tetragonal

Cell lengths 7.033, 7.033, 7.033 Å; angles 99.63, 99.63, 131.73 degrees
Positions (direct):
Te (0.163, 0.663, 0.825)
Te (0.337, 0.163, 0.500)
Te (0.663, 0.837, 0.500)
Te (0.837, 0.337, 0.175)
Rh (0.250, 0.750, 0.500)
Rh (0.750, 0.250, 0.500)
Br (0.250, 0.250, 0.000)
Br (0.750, 0.750, 0.000)

---

[3]
Material: RbSnF6
Method: DFT, PBE-GGA
State: relaxed

**Polymorph energy (0 for the lowest one)**: 5 meV/atom
**Raw formation energy**: -2.239 eV/atom
**Crystal system**: monoclinic

Cell lengths 6.774, 6.774, 6.752 Å; angles 119.65, 119.65, 60.62 degrees
Positions (direct):
Rb (0.000, 0.000, 0.000)
Sn (0.500, 0.500, 0.500)
F (0.276, 0.689, 0.275)
F (0.293, 0.293, 0.329)
F (0.311, 0.724, 0.725)
F (0.689, 0.276, 0.275)
F (0.707, 0.707, 0.671)
F (0.724, 0.311, 0.725)

---

[4]
Material: In3GaPt3
Method: DFT, PBE-GGA
State: relaxed

**Energy of formation**: -2.62 eV/f.u.
**Crystal system**: monoclinic

Cell lengths 6.909, 6.909, 6.329 Å; angles 101.62, 101.62, 97.87 degrees
Positions (direct):
In (0.179, 0.821, 0.000)
In (0.247, 0.753, 0.500)
In (0.408, 0.408, 0.765)
In (0.592, 0.592, 0.235)
In (0.753, 0.247, 0.500)
In (0.821, 0.179, 0.000)
Ga (0.193, 0.193, 0.351)
Ga (0.807, 0.807, 0.649)
Pt (0.100, 0.100, 0.718)
Pt (0.179, 0.452, 0.113)
Pt (0.452, 0.179, 0.113)
Pt (0.548, 0.821, 0.887)
Pt (0.821, 0.548, 0.887)
Pt (0.900, 0.900, 0.282)

---

[5]
Material: LiBe2Ir
Method: DFT, PBE-GGA
State: relaxed

**Energy of formation**: -1.53 eV/f.u.
**Crystal system**: cubic

Cell lengths 3.892, 3.892, 3.892 Å; angles 60.00, 60.00, 60.00 degrees
Positions (direct):
Li (0.000, 0.000, 0.000)
Be (0.250, 0.250, 0.250)
Be (0.750, 0.750, 0.750)
Ir (0.500, 0.500, 0.500)

---

[6]
Material: Cs2RbCaCl
Method: DFT, PBE-GGA
State: relaxed

**Raw formation energy**: -0.040 eV/atom
**Crystal system**: tetragonal

Cell lengths 8.279, 8.279, 7.856 Å; angles 90.00, 90.00, 90.00 degrees
Positions (direct):
Cs (0.000, 0.500, 0.000)
Cs (0.500, 0.000, 0.000)
Rb (0.000, 0.000, 0.500)
Ca (0.000, 0.000, 0.000)
Cl (0.500, 0.500, 0.500)

---

no.,V (Å³ per cell),E_tot (Ry/atom),D(E_F) (states/eV per cell)
1,196.5,-0.5635,13.9
2,237.0,-0.2815,6.6
3,221.2,-0.3134,10.1
4,284.8,-0.3359,5.1
5,41.7,-0.3631,1.0
6,538.5,-0.0989,3.7